No. 1
# AlAuI2N (PBE, relaxed)
data_AlAuI2N
_chemical_formula_sum 'Al1 Au1 I2 N1'
_space_group_name_H-M_alt 'P 1'
_space_group_IT_number 1
_cell_length_a 5.9150
_cell_length_b 5.9150
_cell_length_c 3.4578
_cell_angle_alpha 90.00
_cell_angle_beta 90.00
_cell_angle_gamma 90.00
loop_
_space_group_symop_operation_xyz
'x,y,z'
loop_
_atom_site_label
_atom_site_fract_x
_atom_site_fract_y
_atom_site_fract_z
Al1 0.0000 0.0000 0.0000
Au1 0.5000 0.5000 0.5000
I1 0.0000 0.5000 0.0000
I2 0.5000 0.0000 0.0000
N1 0.0000 0.0000 0.5000
# Space group: P4/mmm (123)
# Final energy, eV per cell: -16.63
# Crystal system: tetragonal

No. 2
# AlAuIN2 (PBE, relaxed)
data_AlAuIN2
_chemical_formula_sum 'Al1 Au1 I1 N2'
_space_group_name_H-M_alt 'P 1'
_space_group_IT_number 1
_cell_length_a 4.1391
_cell_length_b 4.1391
_cell_length_c 7.9420
_cell_angle_alpha 90.00
_cell_angle_beta 90.00
_cell_angle_gamma 90.00
loop_
_space_group_symop_operation_xyz
'x,y,z'
loop_
_atom_site_label
_atom_site_fract_x
_atom_site_fract_y
_atom_site_fract_z
Al1 0.0000 0.0000 0.0000
Au1 0.5000 0.5000 0.5000
I1 0.5000 0.5000 0.0000
N1 0.0000 0.5000 0.5000
N2 0.5000 0.0000 0.5000
# Space group: P4/mmm (123)
# Final energy, eV per cell: -17.20
# Crystal system: tetragonal

No. 3
# AlAuI2N (PBE, relaxed)
data_AlAuI2N
_chemical_formula_sum 'Al1 Au1 I2 N1'
_space_group_name_H-M_alt 'P 1'
_space_group_IT_number 1
_cell_length_a 6.1254
_cell_length_b 6.1254
_cell_length_c 3.8202
_cell_angle_alpha 90.00
_cell_angle_beta 90.00
_cell_angle_gamma 90.00
loop_
_space_group_symop_operation_xyz
'x,y,z'
loop_
_atom_site_label
_atom_site_fract_x
_atom_site_fract_y
_atom_site_fract_z
Al1 0.0000 0.0000 0.0000
Au1 0.5000 0.5000 0.5000
I1 0.0000 0.5000 0.5000
I2 0.5000 0.0000 0.5000
N1 0.5000 0.5000 0.0000
# Space group: P4/mmm (123)
# Final energy, eV per cell: -14.39
# Crystal system: tetragonal

No. 4
# AlOs2AuI (PBE, relaxed)
data_AlOs2AuI
_chemical_formula_sum 'Al1 Os2 Au1 I1'
_space_group_name_H-M_alt 'P 1'
_space_group_IT_number 1
_cell_length_a 4.8320
_cell_length_b 4.8320
_cell_length_c 5.1051
_cell_angle_alpha 90.00
_cell_angle_beta 90.00
_cell_angle_gamma 90.00
loop_
_space_group_symop_operation_xyz
'x,y,z'
loop_
_atom_site_label
_atom_site_fract_x
_atom_site_fract_y
_atom_site_fract_z
Al1 0.0000 0.0000 0.0000
Os1 0.0000 0.5000 0.5000
Os2 0.5000 0.0000 0.5000
Au1 0.5000 0.5000 0.0000
I1 0.0000 0.0000 0.5000
# Space group: P4/mmm (123)
# Final energy, eV per cell: -19.05
# Crystal system: tetragonal

No. 5
# AlPAuI2 (PBE, relaxed)
data_AlPAuI2
_chemical_formula_sum 'Al1 P1 Au1 I2'
_space_group_name_H-M_alt 'P 1'
_space_group_IT_number 1
_cell_length_a 5.8679
_cell_length_b 5.8679
_cell_length_c 4.9585
_cell_angle_alpha 90.00
_cell_angle_beta 90.00
_cell_angle_gamma 90.00
loop_
_space_group_symop_operation_xyz
'x,y,z'
loop_
_atom_site_label
_atom_site_fract_x
_atom_site_fract_y
_atom_site_fract_z
Al1 0.0000 0.0000 0.0000
P1 0.5000 0.5000 0.0000
Au1 0.0000 0.0000 0.5000
I1 0.0000 0.5000 0.5000
I2 0.5000 0.0000 0.5000
# Space group: P4/mmm (123)
# Final energy, eV per cell: -11.94
# Crystal system: tetragonal

No. 6
# AlPt2AuI (PBE, relaxed)
data_AlPt2AuI
_chemical_formula_sum 'Al1 Pt2 Au1 I1'
_space_group_name_H-M_alt 'P 1'
_space_group_IT_number 1
_cell_length_a 5.1374
_cell_length_b 5.1374
_cell_length_c 4.6880
_cell_angle_alpha 90.00
_cell_angle_beta 90.00
_cell_angle_gamma 90.00
loop_
_space_group_symop_operation_xyz
'x,y,z'
loop_
_atom_site_label
_atom_site_fract_x
_atom_site_fract_y
_atom_site_fract_z
Al1 0.0000 0.0000 0.0000
Pt1 0.0000 0.5000 0.5000
Pt2 0.5000 0.0000 0.5000
Au1 0.0000 0.0000 0.5000
I1 0.5000 0.5000 0.0000
# Space group: P4/mmm (123)
# Final energy, eV per cell: -16.77
# Crystal system: tetragonal

No. 7
# Rb2AlAuI6 (PBE, relaxed)
data_Rb2AlAuI6
_chemical_formula_sum 'Rb2 Al1 Au1 I6'
_space_group_name_H-M_alt 'P 1'
_space_group_IT_number 1
_cell_length_a 8.3197
_cell_length_b 8.3197
_cell_length_c 8.3197
_cell_angle_alpha 121.23
_cell_angle_beta 121.23
_cell_angle_gamma 87.89
loop_
_space_group_symop_operation_xyz
'x,y,z'
loop_
_atom_site_label
_atom_site_fract_x
_atom_site_fract_y
_atom_site_fract_z
Rb1 0.2500 0.7500 0.5000
Rb2 0.7500 0.2500 0.5000
Al1 0.0000 0.0000 0.0000
Au1 0.5000 0.5000 0.0000
I1 0.2279 0.2279 0.0000
I2 0.2487 0.2487 0.4974
I3 0.2487 0.7513 0.0000
I4 0.7513 0.2487 0.0000
I5 0.7513 0.7513 0.5026
I6 0.7721 0.7721 0.0000
# Space group: I4/mmm (139)
# Final energy, eV per cell: -25.84
# Crystal system: tetragonal

No. 8
# Rb2AlAuI6 (PBE, relaxed)
data_Rb2AlAuI6
_chemical_formula_sum 'Rb2 Al1 Au1 I6'
_space_group_name_H-M_alt 'P 1'
_space_group_IT_number 1
_cell_length_a 8.3543
_cell_length_b 8.3763
_cell_length_c 8.5308
_cell_angle_alpha 119.32
_cell_angle_beta 90.07
_cell_angle_gamma 119.89
loop_
_space_group_symop_operation_xyz
'x,y,z'
loop_
_atom_site_label
_atom_site_fract_x
_atom_site_fract_y
_atom_site_fract_z
Rb1 0.0000 0.0000 0.0000
Rb2 0.4935 0.9890 0.4825
Al1 0.7437 0.4888 0.2311
Au1 0.3214 0.6437 0.9629
I1 0.0171 0.5087 0.4165
I2 0.4370 0.3818 0.9410
I3 0.4921 0.4016 0.4175
I4 0.5588 0.9972 0.9404
I5 0.9086 0.9258 0.4168
I6 0.9429 0.5026 0.9402
# Space group: P1 (1)
# Final energy, eV per cell: -26.42
# Crystal system: triclinic

No. 9
# Al2ReAuI (PBE, relaxed)
data_Al2ReAuI
_chemical_formula_sum 'Al2 Re1 Au1 I1'
_space_group_name_H-M_alt 'P 1'
_space_group_IT_number 1
_cell_length_a 5.4456
_cell_length_b 5.4456
_cell_length_c 5.2138
_cell_angle_alpha 90.00
_cell_angle_beta 90.00
_cell_angle_gamma 90.00
loop_
_space_group_symop_operation_xyz
'x,y,z'
loop_
_atom_site_label
_atom_site_fract_x
_atom_site_fract_y
_atom_site_fract_z
Al1 0.0000 0.5000 0.0000
Al2 0.5000 0.0000 0.0000
Re1 0.0000 0.0000 0.5000
Au1 0.5000 0.5000 0.5000
I1 0.5000 0.5000 0.0000
# Space group: P4/mmm (123)
# Final energy, eV per cell: -14.52
# Crystal system: tetragonal

No. 10
# AlTeAuI2 (PBE, relaxed)
data_AlTeAuI2
_chemical_formula_sum 'Al1 Te1 Au1 I2'
_space_group_name_H-M_alt 'P 1'
_space_group_IT_number 1
_cell_length_a 6.0834
_cell_length_b 6.0834
_cell_length_c 5.5674
_cell_angle_alpha 90.00
_cell_angle_beta 90.00
_cell_angle_gamma 90.00
loop_
_space_group_symop_operation_xyz
'x,y,z'
loop_
_atom_site_label
_atom_site_fract_x
_atom_site_fract_y
_atom_site_fract_z
Al1 0.0000 0.0000 0.0000
Te1 0.0000 0.0000 0.5000
Au1 0.5000 0.5000 0.0000
I1 0.0000 0.5000 0.5000
I2 0.5000 0.0000 0.5000
# Space group: P4/mmm (123)
# Final energy, eV per cell: -10.07
# Crystal system: tetragonal

No. 11
# AlTeAuI2 (PBE, relaxed)
data_AlTeAuI2
_chemical_formula_sum 'Al1 Te1 Au1 I2'
_space_group_name_H-M_alt 'P 1'
_space_group_IT_number 1
_cell_length_a 5.6487
_cell_length_b 5.6487
_cell_length_c 5.5563
_cell_angle_alpha 90.00
_cell_angle_beta 90.00
_cell_angle_gamma 90.00
loop_
_space_group_symop_operation_xyz
'x,y,z'
loop_
_atom_site_label
_atom_site_fract_x
_atom_site_fract_y
_atom_site_fract_z
Al1 0.0000 0.0000 0.0000
Te1 0.5000 0.5000 0.0000
Au1 0.5000 0.5000 0.5000
I1 0.0000 0.5000 0.5000
I2 0.5000 0.0000 0.5000
# Space group: P4/mmm (123)
# Final energy, eV per cell: -11.69
# Crystal system: tetragonal

No. 12
# AlTeAuI2 (PBE, relaxed)
data_AlTeAuI2
_chemical_formula_sum 'Al1 Te1 Au1 I2'
_space_group_name_H-M_alt 'P 1'
_space_group_IT_number 1
_cell_length_a 5.4180
_cell_length_b 5.4180
_cell_length_c 5.5440
_cell_angle_alpha 90.00
_cell_angle_beta 90.00
_cell_angle_gamma 90.00
loop_
_space_group_symop_operation_xyz
'x,y,z'
loop_
_atom_site_label
_atom_site_fract_x
_atom_site_fract_y
_atom_site_fract_z
Al1 0.0000 0.0000 0.0000
Te1 0.0000 0.0000 0.5000
Au1 0.5000 0.5000 0.5000
I1 0.0000 0.5000 0.0000
I2 0.5000 0.0000 0.0000
# Space group: P4/mmm (123)
# Final energy, eV per cell: -11.53
# Crystal system: tetragonal

Number 1: raw formation energy 0.362 eV/atom. Number 2: raw formation energy 1.603 eV/atom. Number 3: raw formation energy 0.811 eV/atom. Number 4: raw formation energy 2.395 eV/atom. Number 5: raw formation energy 0.718 eV/atom. Number 6: raw formation energy 0.777 eV/atom. Number 7: raw formation energy -0.759 eV/atom. Number 8: raw formation energy -0.817 eV/atom. Number 9: raw formation energy 2.047 eV/atom. Number 10: raw formation energy 0.639 eV/atom. Number 11: raw formation energy 0.314 eV/atom. Number 12: raw formation energy 0.346 eV/atom.